The following is a PBE calculation of a geometry-optimized MnAlFe2 structure, from the Alexandria database.

Values from the calculation:
Energy = -7.544 eV per atom
Volume = 46.6 Å³ per cell
Fermi-level density of states = 7.48 states/eV/f.u.
E_form = -0.084 eV/atom
Mass density = 6.90 g cm⁻³

```
data_MnAlFe2
_cell_length_a 4.038
_cell_length_b 4.038
_cell_length_c 4.038
_cell_angle_alpha 60.00
_cell_angle_beta 60.00
_cell_angle_gamma 60.00
_space_group_name_H-M_alt 'P 1'
_space_group_IT_number 1
loop_
_space_group_symop_operation_xyz
'x,y,z'
loop_
_atom_site_label
_atom_site_type_symbol
_atom_site_fract_x
_atom_site_fract_y
_atom_site_fract_z
Mn1 Mn 0.000 0.000 0.000
Al1 Al 0.250 0.250 0.250
Fe1 Fe 0.500 0.500 0.500
Fe2 Fe 0.750 0.750 0.750
```